# 1
This record from Alexandria via LeMat-Bulk describes a relaxed structure of Pr2Sn3Rh2. The functional is PBE-GGA.

Geometry as CIF:
```
data_Pr2Sn3Rh2
_space_group_name_H-M_alt 'P 1'
_space_group_IT_number 1
_space_group_name_Hall 'P 1'
_cell_length_a 10.191
_cell_length_b 10.191
_cell_length_c 7.521
_cell_angle_alpha 90.00
_cell_angle_beta 90.00
_cell_angle_gamma 154.67
loop_
_atom_site_label
_atom_site_type_symbol
_atom_site_fract_x
_atom_site_fract_y
_atom_site_fract_z
Pr1 Pr 0.050 0.950 0.750
Pr2 Pr 0.167 0.833 0.250
Pr3 Pr 0.833 0.167 0.750
Pr4 Pr 0.950 0.050 0.250
Sn1 Sn 0.215 0.785 0.750
Sn2 Sn 0.431 0.569 0.557
Sn3 Sn 0.431 0.569 0.943
Sn4 Sn 0.569 0.431 0.057
Sn5 Sn 0.569 0.431 0.443
Sn6 Sn 0.785 0.215 0.250
Rh1 Rh 0.301 0.699 0.044
Rh2 Rh 0.301 0.699 0.456
Rh3 Rh 0.699 0.301 0.544
Rh4 Rh 0.699 0.301 0.956
```

Summary:
Fermi-level density of states	9.95	states/eV/cell
calculated formation energy	-0.703	eV/atom



# 2
This record from Alexandria via LeMat-Bulk describes a relaxed structure of Sr2PrSn3Rh4. The functional is PBE-GGA.

Geometry as CIF:
```
data_Sr2PrSn3Rh4
_space_group_name_H-M_alt 'P 1'
_space_group_IT_number 1
_space_group_name_Hall 'P 1'
_cell_length_a 4.562
_cell_length_b 4.562
_cell_length_c 11.477
_cell_angle_alpha 90.00
_cell_angle_beta 90.00
_cell_angle_gamma 90.00
loop_
_atom_site_label
_atom_site_type_symbol
_atom_site_fract_x
_atom_site_fract_y
_atom_site_fract_z
Sr1 Sr 0.000 0.500 0.229
Sr2 Sr 0.500 0.000 0.771
Pr1 Pr 0.000 0.000 0.500
Sn1 Sn 0.000 0.500 0.880
Sn2 Sn 0.500 0.000 0.120
Sn3 Sn 0.500 0.500 0.500
Rh1 Rh 0.000 0.000 0.000
Rh2 Rh 0.000 0.500 0.647
Rh3 Rh 0.500 0.000 0.353
Rh4 Rh 0.500 0.500 0.000
```

Summary:
Fermi-level density of states	4.96	states/eV/cell
calculated formation energy	-0.645	eV/atom



# 3
This record from Alexandria via LeMat-Bulk describes a relaxed structure of TbPr2Sn3Rh4. The functional is PBE-GGA.

Geometry as CIF:
```
data_TbPr2Sn3Rh4
_space_group_name_H-M_alt 'P 1'
_space_group_IT_number 1
_space_group_name_Hall 'P 1'
_cell_length_a 4.435
_cell_length_b 4.435
_cell_length_c 11.467
_cell_angle_alpha 90.00
_cell_angle_beta 90.00
_cell_angle_gamma 90.00
loop_
_atom_site_label
_atom_site_type_symbol
_atom_site_fract_x
_atom_site_fract_y
_atom_site_fract_z
Tb1 Tb 0.000 0.000 0.000
Pr1 Pr 0.000 0.500 0.732
Pr2 Pr 0.500 0.000 0.268
Sn1 Sn 0.000 0.500 0.375
Sn2 Sn 0.500 0.000 0.625
Sn3 Sn 0.500 0.500 0.000
Rh1 Rh 0.000 0.000 0.500
Rh2 Rh 0.000 0.500 0.147
Rh3 Rh 0.500 0.000 0.853
Rh4 Rh 0.500 0.500 0.500
```

Summary:
Fermi-level density of states	7.82	states/eV/cell
calculated formation energy	-0.749	eV/atom



# 4
This record from Alexandria via LeMat-Bulk describes a relaxed structure of Pr2ThSn3Rh4. The functional is PBE-GGA.

Geometry as CIF:
```
data_Pr2ThSn3Rh4
_space_group_name_H-M_alt 'P 1'
_space_group_IT_number 1
_space_group_name_Hall 'P 1'
_cell_length_a 4.556
_cell_length_b 4.556
_cell_length_c 11.197
_cell_angle_alpha 90.00
_cell_angle_beta 90.00
_cell_angle_gamma 90.00
loop_
_atom_site_label
_atom_site_type_symbol
_atom_site_fract_x
_atom_site_fract_y
_atom_site_fract_z
Pr1 Pr 0.000 0.500 0.221
Pr2 Pr 0.500 0.000 0.779
Th1 Th 0.000 0.000 0.500
Sn1 Sn 0.000 0.500 0.875
Sn2 Sn 0.500 0.000 0.125
Sn3 Sn 0.500 0.500 0.500
Rh1 Rh 0.000 0.000 0.000
Rh2 Rh 0.000 0.500 0.642
Rh3 Rh 0.500 0.000 0.358
Rh4 Rh 0.500 0.500 0.000
```

Summary:
Fermi-level density of states	6.61	states/eV/cell
calculated formation energy	-0.745	eV/atom



# 5
This record from Alexandria via LeMat-Bulk describes a relaxed structure of Pr2YSn3Rh4. The functional is PBE-GGA.

Geometry as CIF:
```
data_Pr2YSn3Rh4
_space_group_name_H-M_alt 'P 1'
_space_group_IT_number 1
_space_group_name_Hall 'P 1'
_cell_length_a 4.426
_cell_length_b 4.426
_cell_length_c 11.503
_cell_angle_alpha 90.00
_cell_angle_beta 90.00
_cell_angle_gamma 90.00
loop_
_atom_site_label
_atom_site_type_symbol
_atom_site_fract_x
_atom_site_fract_y
_atom_site_fract_z
Pr1 Pr 0.000 0.500 0.232
Pr2 Pr 0.500 0.000 0.768
Y1 Y 0.000 0.000 0.500
Sn1 Sn 0.000 0.500 0.875
Sn2 Sn 0.500 0.000 0.125
Sn3 Sn 0.500 0.500 0.500
Rh1 Rh 0.000 0.000 0.000
Rh2 Rh 0.000 0.500 0.647
Rh3 Rh 0.500 0.000 0.353
Rh4 Rh 0.500 0.500 0.000
```

Summary:
Fermi-level density of states	7.77	states/eV/cell
calculated formation energy	-0.747	eV/atom



# 6
This record from Alexandria via LeMat-Bulk describes a relaxed structure of Pr2ZnSn2Rh5. The functional is PBE-GGA.

Geometry as CIF:
```
data_Pr2ZnSn2Rh5
_space_group_name_H-M_alt 'P 1'
_space_group_IT_number 1
_space_group_name_Hall 'P 1'
_cell_length_a 10.330
_cell_length_b 10.330
_cell_length_c 3.655
_cell_angle_alpha 90.00
_cell_angle_beta 90.00
_cell_angle_gamma 90.00
loop_
_atom_site_label
_atom_site_type_symbol
_atom_site_fract_x
_atom_site_fract_y
_atom_site_fract_z
Pr1 Pr 0.170 0.330 0.000
Pr2 Pr 0.330 0.830 0.000
Pr3 Pr 0.670 0.170 0.000
Pr4 Pr 0.830 0.670 0.000
Zn1 Zn 0.000 0.000 0.000
Zn2 Zn 0.500 0.500 0.000
Sn1 Sn 0.130 0.630 0.000
Sn2 Sn 0.370 0.130 0.000
Sn3 Sn 0.630 0.870 0.000
Sn4 Sn 0.870 0.370 0.000
Rh1 Rh 0.000 0.500 0.500
Rh2 Rh 0.055 0.804 0.500
Rh3 Rh 0.196 0.055 0.500
Rh4 Rh 0.304 0.555 0.500
Rh5 Rh 0.445 0.304 0.500
Rh6 Rh 0.500 0.000 0.500
Rh7 Rh 0.555 0.696 0.500
Rh8 Rh 0.696 0.445 0.500
Rh9 Rh 0.804 0.945 0.500
Rh10 Rh 0.945 0.196 0.500
```

Summary:
Fermi-level density of states	6.51	states/eV/cell
calculated formation energy	-0.451	eV/atom



Repeat the second record exactly.
This record from Alexandria via LeMat-Bulk describes a relaxed structure of Sr2PrSn3Rh4. The functional is PBE-GGA.

Geometry as CIF:
```
data_Sr2PrSn3Rh4
_space_group_name_H-M_alt 'P 1'
_space_group_IT_number 1
_space_group_name_Hall 'P 1'
_cell_length_a 4.562
_cell_length_b 4.562
_cell_length_c 11.477
_cell_angle_alpha 90.00
_cell_angle_beta 90.00
_cell_angle_gamma 90.00
loop_
_atom_site_label
_atom_site_type_symbol
_atom_site_fract_x
_atom_site_fract_y
_atom_site_fract_z
Sr1 Sr 0.000 0.500 0.229
Sr2 Sr 0.500 0.000 0.771
Pr1 Pr 0.000 0.000 0.500
Sn1 Sn 0.000 0.500 0.880
Sn2 Sn 0.500 0.000 0.120
Sn3 Sn 0.500 0.500 0.500
Rh1 Rh 0.000 0.000 0.000
Rh2 Rh 0.000 0.500 0.647
Rh3 Rh 0.500 0.000 0.353
Rh4 Rh 0.500 0.500 0.000
```

Summary:
Fermi-level density of states	4.96	states/eV/cell
calculated formation energy	-0.645	eV/atom



Question: Among the records above, which one has the highest calculated formation energy?
Answer: Pr2ZnSn2Rh5